No. 1
# Y2Te2As, optimized geometry, DFT PBE
data_Y2Te2As
_chemical_formula_sum 'Y4 Te4 As2'
_cell_length_a 8.137
_cell_length_b 8.137
_cell_length_c 4.148
_cell_angle_alpha 90.00
_cell_angle_beta 90.00
_cell_angle_gamma 90.00
_space_group_name_H-M_alt 'P 1'
_space_group_IT_number 1
loop_
_space_group_symop_operation_xyz
'x,y,z'
loop_
_atom_site_label
_atom_site_fract_x
_atom_site_fract_y
_atom_site_fract_z
Y1 0.163 0.337 0.000
Y2 0.337 0.837 0.000
Y3 0.663 0.163 0.000
Y4 0.837 0.663 0.000
Te1 0.143 0.643 0.500
Te2 0.357 0.143 0.500
Te3 0.643 0.857 0.500
Te4 0.857 0.357 0.500
As1 0.000 0.000 0.000
As2 0.500 0.500 0.000
# **SG**: P4/mbm
# **ΔE_f (raw)**: -5.4 eV/f.u.
# **V**: 27.47 Å³ per atom
# **E**: -5.858 eV per atom
# **Magnetization**: 0.000 μB/f.u.

***

No. 2
# PrSm2Pa, optimized geometry, DFT PBE
data_PrSm2Pa
_chemical_formula_sum 'Pr1 Sm2 Pa1'
_cell_length_a 3.456
_cell_length_b 3.456
_cell_length_c 10.565
_cell_angle_alpha 90.00
_cell_angle_beta 90.00
_cell_angle_gamma 90.00
_space_group_name_H-M_alt 'P 1'
_space_group_IT_number 1
loop_
_space_group_symop_operation_xyz
'x,y,z'
loop_
_atom_site_label
_atom_site_fract_x
_atom_site_fract_y
_atom_site_fract_z
Pr1 0.000 0.000 0.000
Sm1 0.500 0.500 0.274
Sm2 0.500 0.500 0.726
Pa1 0.000 0.000 0.500
# **ΔE to the lowest computed polymorph**: 0.0 meV per atom
# **SG**: P4/mmm
# **V**: 31.55 Å³ per atom
# **E**: -5.784 eV per atom
# **Energy of formation from the pure elements**: 144 meV/atom
# **Magnetization**: 0.002 μB/f.u.

***

No. 3
# RbNa, optimized geometry, DFT PBE
data_RbNa
_chemical_formula_sum 'Rb4 Na4'
_cell_length_a 10.915
_cell_length_b 10.915
_cell_length_c 10.915
_cell_angle_alpha 92.49
_cell_angle_beta 92.49
_cell_angle_gamma 155.92
_space_group_name_H-M_alt 'P 1'
_space_group_IT_number 1
loop_
_space_group_symop_operation_xyz
'x,y,z'
loop_
_atom_site_label
_atom_site_fract_x
_atom_site_fract_y
_atom_site_fract_z
Rb1 0.123 0.819 0.942
Rb2 0.181 0.123 0.303
Rb3 0.819 0.877 0.697
Rb4 0.877 0.181 0.058
Na1 0.070 0.388 0.457
Na2 0.388 0.930 0.318
Na3 0.612 0.070 0.682
Na4 0.930 0.612 0.543
# **SG**: I4/m
# **V**: 64.85 Å³ per atom
# **E**: -1.076 eV per atom
# **Energy of formation from the pure elements**: 67 meV/atom
# **Magnetization**: 0.000 μB/f.u.